1.
FeTcBi2 | OQMD | PBE | optimized geometry; E_tot = -23.03 eV/cell
1.0
0.0000 3.4859 3.4859
3.4859 0.0000 3.4859
3.4859 3.4859 0.0000
Fe Bi Tc
1 2 1
Direct
0.7500 0.7500 0.7500
0.5000 0.5000 0.5000
0.2500 0.2500 0.2500
0.0000 0.0000 0.0000


2.
FeTcBi | OQMD | PBE | optimized geometry; E_tot = -20.98 eV/cell
1.0
-1.3792 -3.8715 1.0066
-2.0763 -0.6281 3.6330
-4.1449 -0.8491 -0.0516
Tc Bi Fe
1 1 1
Direct
0.7500 0.7500 0.7500
0.2500 0.2500 0.2500
0.0000 0.0000 0.0000


3.
FeTc2Bi | OQMD | PBE | optimized geometry; E_tot = -30.64 eV/cell
1.0
1.5280 -2.3669 3.5237
2.3122 2.0689 3.2752
-1.8635 0.5575 4.0707
Tc Fe Bi
2 1 1
Direct
0.7500 0.7500 0.7500
0.0000 0.0000 0.0000
0.2500 0.2500 0.2500
0.5000 0.5000 0.5000


4.
ZrFeTcBi | OQMD | PBE | optimized geometry; E_tot = -30.93 eV/cell
1.0
1.4169 -3.6646 2.3836
-1.5800 -0.7255 4.2539
-2.8978 -3.4726 0.8137
Bi Tc Fe Zr
1 1 1 1
Direct
0.0000 0.0000 0.0000
0.2500 0.2500 0.2500
0.7500 0.7500 0.7500
0.5000 0.5000 0.5000


5.
ZrFeTcBi | OQMD | PBE | optimized geometry; E_tot = -29.65 eV/cell
1.0
2.8315 -0.7878 3.7001
-1.7118 -2.0733 3.8858
1.2931 -4.4127 1.0883
Fe Tc Zr Bi
1 1 1 1
Direct
0.7500 0.7500 0.7500
0.5000 0.5000 0.5000
0.2500 0.2500 0.2500
0.0000 0.0000 0.0000


6.
TlFeBi | OQMD | PBE | optimized geometry; E_tot = -12.17 eV/cell
1.0
2.2460 -2.3559 3.7895
-2.2441 -0.2699 4.4549
-1.7872 -4.3686 1.6359
Bi Tl Fe
1 1 1
Direct
0.0000 0.0000 0.0000
0.7500 0.7500 0.7500
0.2500 0.2500 0.2500


7.
Fe2BiW | OQMD | PBE | optimized geometry; E_tot = -30.33 eV/cell
1.0
0.0000 3.1252 3.1252
3.1252 0.0000 3.1252
3.1252 3.1252 0.0000
W Bi Fe
1 1 2
Direct
0.2500 0.2500 0.2500
0.5000 0.5000 0.5000
0.7500 0.7500 0.7500
0.0000 0.0000 0.0000


8.
FeBi2W | OQMD | PBE | optimized geometry; E_tot = -24.62 eV/cell
1.0
0.0000 3.4907 3.4907
3.4907 0.0000 3.4907
3.4907 3.4907 0.0000
Bi Fe W
2 1 1
Direct
0.0000 0.0000 0.0000
0.7500 0.7500 0.7500
0.2500 0.2500 0.2500
0.5000 0.5000 0.5000


9.
FeBiW | OQMD | PBE | optimized geometry; E_tot = -23.24 eV/cell
1.0
-0.2875 -3.3311 2.6384
-2.2170 0.3365 3.6210
-3.7014 -2.0626 0.4303
Bi W Fe
1 1 1
Direct
0.2500 0.2500 0.2500
0.7500 0.7500 0.7500
0.0000 0.0000 0.0000


10.
ZnFeBiW | OQMD | PBE | optimized geometry; E_tot = -23.14 eV/cell
1.0
0.0000 3.2303 3.2303
3.2303 0.0000 3.2303
3.2303 3.2303 0.0000
W Fe Zn Bi
1 1 1 1
Direct
0.2500 0.2500 0.2500
0.7500 0.7500 0.7500
0.5000 0.5000 0.5000
0.0000 0.0000 0.0000


11.
ZnFeBiW | OQMD | PBE | optimized geometry; E_tot = -23.01 eV/cell
1.0
1.8961 -0.5572 4.1387
2.0944 3.5242 2.0562
-1.9037 1.9695 3.6785
Zn Bi Fe W
1 1 1 1
Direct
0.2500 0.2500 0.2500
0.0000 0.0000 0.0000
0.7500 0.7500 0.7500
0.5000 0.5000 0.5000


12.
ZrFeBiW | OQMD | PBE | optimized geometry; E_tot = -31.65 eV/cell
1.0
0.0000 3.3029 3.3029
3.3029 0.0000 3.3029
3.3029 3.3029 0.0000
Bi W Fe Zr
1 1 1 1
Direct
0.0000 0.0000 0.0000
0.2500 0.2500 0.2500
0.7500 0.7500 0.7500
0.5000 0.5000 0.5000


What is the E_tot in the ninth record?
-23.24 eV/cell


What is the formula in the eighth record?
FeBi2W


Look up the E_tot of the fourth one.
-30.93 eV/cell